VASP calculation (PBE with a Hubbard U) on an optimized crystal structure of CaWClF2.

magnetic moment = 3.00 μB per cell
VASP energy = -4.692 eV/atom

```
data_CaWClF2
_space_group_name_H-M_alt 'P 4/m m m'
_space_group_IT_number 123
_space_group_name_Hall '-P 4 2'
_cell_length_a 4.215
_cell_length_b 4.215
_cell_length_c 6.546
_cell_angle_alpha 90.00
_cell_angle_beta 90.00
_cell_angle_gamma 90.00
loop_
_atom_site_label
_atom_site_fract_x
_atom_site_fract_y
_atom_site_fract_z
Ca1 0.000 0.000 0.000
W1 0.000 0.000 0.500
Cl1 0.500 0.500 0.000
F1 0.000 0.500 0.500
```